DFT (SCAN) results for Rb3B12H12I at its PBEsol-relaxed geometry.

Cell: 6.999 6.999 6.999 Å, 93.80 93.80 93.80°
Sites, in units of the cell vectors:
1 Rb 0.500 0.000 0.500
2 Rb 0.500 0.500 0.000
3 Rb 0.000 0.500 0.500
4 B 0.841 0.122 0.122
5 B 0.159 0.878 0.878
6 B 0.878 0.878 0.159
7 B 0.878 0.159 0.878
8 B 0.061 0.234 0.061
9 B 0.061 0.061 0.234
10 B 0.234 0.061 0.061
11 B 0.766 0.939 0.939
12 B 0.939 0.766 0.939
13 B 0.939 0.939 0.766
14 B 0.122 0.841 0.122
15 B 0.122 0.122 0.841
16 H 0.790 0.272 0.790
17 H 0.790 0.790 0.272
18 H 0.272 0.790 0.790
19 H 0.728 0.210 0.210
20 H 0.896 0.598 0.896
21 H 0.896 0.896 0.598
22 H 0.598 0.896 0.896
23 H 0.402 0.104 0.104
24 H 0.104 0.402 0.104
25 H 0.104 0.104 0.402
26 H 0.210 0.728 0.210
27 H 0.210 0.210 0.728
28 I 0.500 0.500 0.500

energy: -8.720 eV per atom
theoretical density: 2.56 g/cm³
space group: No. 166


DFT (SCAN) results for In2BH at its PBEsol-relaxed geometry.

Cell: 4.837 4.837 6.755 Å, 110.98 110.98 90.00°
Sites, in units of the cell vectors:
1 H 0.750 0.250 0.500
2 H 0.500 0.500 0.000
3 B 0.250 0.750 0.500
4 B 0.000 0.000 0.000
5 In 0.372 0.875 0.250
6 In 0.878 0.375 0.250
7 In 0.125 0.122 0.750
8 In 0.625 0.628 0.750

energy: -18.781 eV per atom
theoretical density: 5.88 g/cm³
space group: No. 122


DFT (SCAN) results for KInBP2HO9 at its PBEsol-relaxed geometry.

Cell: 5.293 8.383 8.304 Å, 89.27 79.99 87.40°
Sites, in units of the cell vectors:
1 K 0.282 0.174 0.883
2 K 0.718 0.826 0.117
3 In 0.283 0.692 0.791
4 In 0.717 0.308 0.209
5 B 0.102 0.770 0.435
6 B 0.898 0.230 0.565
7 P 0.217 0.559 0.189
8 P 0.783 0.441 0.811
9 P 0.808 0.925 0.701
10 P 0.192 0.075 0.299
11 H 0.385 0.609 0.461
12 H 0.615 0.391 0.539
13 O 0.301 0.672 0.044
14 O 0.699 0.328 0.956
15 O 0.274 0.688 0.533
16 O 0.726 0.312 0.467
17 O 0.034 0.909 0.794
18 O 0.966 0.091 0.206
19 O 0.558 0.869 0.801
20 O 0.442 0.131 0.199
21 O 0.920 0.585 0.857
22 O 0.080 0.415 0.143
23 O 0.867 0.833 0.535
24 O 0.133 0.167 0.465
25 O 0.023 0.657 0.321
26 O 0.977 0.343 0.679
27 O 0.750 0.104 0.662
28 O 0.250 0.896 0.338
29 O 0.455 0.511 0.269
30 O 0.545 0.489 0.731

energy: -10.973 eV per atom
theoretical density: 3.41 g/cm³
space group: No. 2


DFT (SCAN) results for NaInBP2HO9 at its PBEsol-relaxed geometry.

Cell: 5.158 7.661 17.000 Å, 90.00 90.00 92.85°
Sites, in units of the cell vectors:
1 Na 0.356 0.339 0.671
2 Na 0.856 0.839 0.829
3 Na 0.644 0.661 0.329
4 Na 0.144 0.161 0.171
5 In 0.323 0.809 0.660
6 In 0.823 0.309 0.840
7 In 0.677 0.191 0.340
8 In 0.177 0.691 0.160
9 B 0.889 0.243 0.523
10 B 0.389 0.743 0.977
11 B 0.111 0.757 0.477
12 B 0.611 0.257 0.023
13 P 0.842 0.087 0.668
14 P 0.342 0.587 0.832
15 P 0.158 0.913 0.332
16 P 0.658 0.413 0.168
17 P 0.839 0.577 0.591
18 P 0.339 0.077 0.909
19 P 0.161 0.423 0.409
20 P 0.661 0.923 0.091
21 H 0.482 0.838 0.510
22 H 0.982 0.338 0.990
23 H 0.518 0.162 0.490
24 H 0.018 0.662 0.010
25 O 0.546 0.050 0.659
26 O 0.046 0.550 0.841
27 O 0.454 0.950 0.341
28 O 0.954 0.450 0.159
29 O 0.972 0.130 0.586
30 O 0.472 0.630 0.914
31 O 0.028 0.870 0.414
32 O 0.528 0.370 0.086
33 O 0.304 0.848 0.530
34 O 0.804 0.348 0.970
35 O 0.696 0.152 0.470
36 O 0.196 0.652 0.030
37 O 0.871 0.713 0.522
38 O 0.371 0.213 0.978
39 O 0.129 0.287 0.478
40 O 0.629 0.787 0.022
41 O 0.758 0.395 0.554
42 O 0.258 0.895 0.946
43 O 0.242 0.605 0.446
44 O 0.742 0.105 0.054
45 O 0.893 0.250 0.719
46 O 0.393 0.750 0.781
47 O 0.107 0.750 0.281
48 O 0.607 0.250 0.219
49 O 0.976 0.925 0.698
50 O 0.476 0.425 0.802
51 O 0.024 0.075 0.302
52 O 0.524 0.575 0.198
53 O 0.095 0.570 0.635
54 O 0.595 0.070 0.865
55 O 0.905 0.430 0.365
56 O 0.405 0.930 0.135
57 O 0.612 0.624 0.641
58 O 0.112 0.124 0.859
59 O 0.388 0.376 0.359
60 O 0.888 0.876 0.141

energy: -10.667 eV per atom
theoretical density: 3.52 g/cm³
space group: No. 14


DFT (SCAN) results for NiB2HIr at its PBEsol-relaxed geometry.

Cell: 2.938 3.664 3.664 Å, 90.00 90.00 90.00°
Sites, in units of the cell vectors:
1 Ni 0.500 0.000 0.000
2 B 0.000 0.000 0.500
3 B 0.000 0.500 0.000
4 Ir 0.500 0.500 0.500
5 H 0.000 0.000 0.000

energy: -20.572 eV per atom
theoretical density: 11.52 g/cm³
space group: No. 123


DFT (SCAN) results for KB3H3 at its PBEsol-relaxed geometry.

Cell: 6.130 6.130 6.130 Å, 60.00 60.00 60.00°
Sites, in units of the cell vectors:
1 H 0.281 0.281 0.719
2 H 0.281 0.719 0.281
3 H 0.281 0.719 0.719
4 H 0.719 0.719 0.281
5 H 0.719 0.281 0.719
6 H 0.719 0.281 0.281
7 K 0.250 0.250 0.250
8 K 0.750 0.750 0.750
9 B 0.141 0.859 0.141
10 B 0.141 0.141 0.859
11 B 0.141 0.859 0.859
12 B 0.859 0.859 0.141
13 B 0.859 0.141 0.859
14 B 0.859 0.141 0.141

energy: -6.220 eV per atom
theoretical density: 1.52 g/cm³
space group: No. 225


DFT (SCAN) results for KB5H5 at its PBEsol-relaxed geometry.

Cell: 6.653 11.031 12.599 Å, 90.00 92.28 90.00°
Sites, in units of the cell vectors:
1 K 0.737 0.370 0.554
2 K 0.763 0.870 0.946
3 K 0.263 0.630 0.446
4 K 0.237 0.130 0.054
5 K 0.772 0.465 0.159
6 K 0.728 0.965 0.341
7 K 0.228 0.535 0.841
8 K 0.272 0.035 0.659
9 B 0.858 0.177 0.863
10 B 0.642 0.677 0.637
11 B 0.142 0.823 0.137
12 B 0.358 0.323 0.363
13 B 0.471 0.282 0.872
14 B 0.029 0.782 0.628
15 B 0.529 0.718 0.128
16 B 0.971 0.218 0.372
17 B 0.591 0.367 0.782
18 B 0.909 0.867 0.718
19 B 0.409 0.633 0.218
20 B 0.091 0.133 0.282
21 B 0.613 0.268 0.995
22 B 0.887 0.768 0.505
23 B 0.387 0.732 0.005
24 B 0.113 0.232 0.495
25 B 0.600 0.143 0.901
26 B 0.900 0.643 0.599
27 B 0.400 0.857 0.099
28 B 0.100 0.357 0.401
29 B 0.662 0.395 0.911
30 B 0.838 0.895 0.589
31 B 0.338 0.605 0.089
32 B 0.162 0.105 0.411
33 B 0.644 0.217 0.777
34 B 0.856 0.717 0.723
35 B 0.356 0.783 0.223
36 B 0.144 0.283 0.277
37 B 0.869 0.301 0.956
38 B 0.631 0.801 0.544
39 B 0.131 0.699 0.044
40 B 0.369 0.199 0.456
41 B 0.832 0.330 0.816
42 B 0.668 0.830 0.684
43 B 0.168 0.670 0.184
44 B 0.332 0.170 0.316
45 B 0.793 0.159 0.991
46 B 0.707 0.659 0.509
47 B 0.207 0.841 0.009
48 B 0.293 0.341 0.491
49 H 0.990 0.115 0.828
50 H 0.510 0.615 0.672
51 H 0.010 0.885 0.172
52 H 0.490 0.385 0.328
53 H 0.530 0.287 0.077
54 H 0.970 0.787 0.423
55 H 0.470 0.713 0.923
56 H 0.030 0.213 0.577
57 H 0.289 0.283 0.873
58 H 0.211 0.783 0.627
59 H 0.711 0.717 0.127
60 H 0.789 0.217 0.373
61 H 0.523 0.435 0.716
62 H 0.977 0.935 0.784
63 H 0.477 0.565 0.284
64 H 0.023 0.065 0.216
65 H 0.618 0.161 0.695
66 H 0.882 0.661 0.805
67 H 0.382 0.839 0.305
68 H 0.118 0.339 0.195
69 H 0.009 0.349 0.005
70 H 0.491 0.849 0.495
71 H 0.991 0.651 0.995
72 H 0.509 0.151 0.505
73 H 0.851 0.091 0.060
74 H 0.649 0.591 0.440
75 H 0.149 0.909 0.940
76 H 0.351 0.409 0.560
77 H 0.648 0.497 0.945
78 H 0.852 0.997 0.555
79 H 0.352 0.503 0.055
80 H 0.148 0.003 0.445
81 H 0.500 0.051 0.899
82 H 0.000 0.551 0.601
83 H 0.500 0.949 0.101
84 H 0.000 0.449 0.399
85 H 0.969 0.371 0.767
86 H 0.531 0.871 0.733
87 H 0.031 0.629 0.233
88 H 0.469 0.129 0.267

energy: -6.059 eV per atom
theoretical density: 1.41 g/cm³
space group: No. 14


DFT (SCAN) results for K2BH at its PBEsol-relaxed geometry.

Cell: 5.098 5.098 5.098 Å, 60.00 60.00 60.00°
Site moments in Bohr magnetons follow the coordinates.
Sites, in units of the cell vectors:
1 H 0.000 0.000 0.000  0.06
2 K 0.250 0.250 0.250  -0.05
3 K 0.750 0.750 0.750  -0.05
4 B 0.500 0.500 0.500  -0.70

energy: -5.919 eV per atom
theoretical density: 1.60 g/cm³
space group: No. 225